An optimized crystal structure of MnTlHg2, computed with PBEsol. Values from VASP.

Cell and atoms, written as Quantum ESPRESSO input:
```
&SYSTEM
  ibrav = 0, nat = 4, ntyp = 3
/
ATOMIC_SPECIES
Mn 54.94 Mn.upf
Tl 204.38 Tl.upf
Hg 200.59 Hg.upf
CELL_PARAMETERS angstrom
3.446 0.000 0.000
0.000 4.516 0.000
-1.490 0.000 5.564
ATOMIC_POSITIONS angstrom
Mn 0.000 0.000 0.000
Tl -0.745 0.000 2.782
Hg 0.997 2.258 1.269
Hg 0.958 2.258 4.295
```

Properties
* energy of formation: 32.4 kJ/mol of atoms
* M_tot: 3.90 Bohr magnetons per cell
* SG: P2/m (10)

***

An optimized crystal structure of SbMoBr3, computed with PBEsol. Values from VASP.

Cell and atoms, written as Quantum ESPRESSO input:
```
&SYSTEM
  ibrav = 0, nat = 5, ntyp = 3
/
ATOMIC_SPECIES
Sb 121.76 Sb.upf
Mo 95.94 Mo.upf
Br 79.90 Br.upf
CELL_PARAMETERS angstrom
5.545 0.000 0.000
0.000 5.545 0.000
0.000 0.000 5.545
ATOMIC_POSITIONS angstrom
Sb 0.000 0.000 0.000
Mo 2.773 2.773 2.773
Br 0.000 0.000 2.773
Br 0.000 2.773 0.000
Br 2.773 0.000 0.000
```

Properties
* calculated total energy: -3.584 eV per atom
* M_tot: 5.40 Bohr magnetons per cell
* SG: Pm-3m (221)

***

An optimized crystal structure of HgAsPb3, computed with PBEsol. Values from VASP.

Cell and atoms, written as Quantum ESPRESSO input:
```
&SYSTEM
  ibrav = 0, nat = 5, ntyp = 3
/
ATOMIC_SPECIES
Hg 200.59 Hg.upf
As 74.92 As.upf
Pb 207.20 Pb.upf
CELL_PARAMETERS angstrom
5.532 0.000 0.000
0.000 5.532 0.000
0.000 0.000 5.532
ATOMIC_POSITIONS angstrom
Hg 0.000 0.000 0.000
As 2.766 2.766 2.766
Pb 0.000 0.000 2.766
Pb 0.000 2.766 0.000
Pb 2.766 0.000 0.000
```

Properties
* energy of formation: 66.5 kJ/mol of atoms
* M_tot: 0.00 Bohr magnetons per cell
* SG: Pm-3m (221)

***

An optimized crystal structure of AsIr2Rh, computed with PBEsol. Values from VASP.

Cell and atoms, written as Quantum ESPRESSO input:
```
&SYSTEM
  ibrav = 0, nat = 4, ntyp = 3
/
ATOMIC_SPECIES
As 74.92 As.upf
Ir 192.22 Ir.upf
Rh 102.91 Rh.upf
CELL_PARAMETERS angstrom
2.625 -4.699 0.000
2.625 4.699 0.000
-1.430 0.000 2.358
ATOMIC_POSITIONS angstrom
As 0.000 0.000 0.000
Ir 0.597 2.349 1.179
Ir 0.597 -2.349 1.179
Rh 2.625 0.000 0.000
```

Properties
* energy of formation: 17.8 kJ/mol of atoms
* M_tot: 0.00 Bohr magnetons per cell
* SG: C2/m (12)

***

Question: Which formula does entry 4 have?
Answer: AsIr2Rh

***

Repeat the first record exactly.
An optimized crystal structure of MnTlHg2, computed with PBEsol. Values from VASP.

Cell and atoms, written as Quantum ESPRESSO input:
```
&SYSTEM
  ibrav = 0, nat = 4, ntyp = 3
/
ATOMIC_SPECIES
Mn 54.94 Mn.upf
Tl 204.38 Tl.upf
Hg 200.59 Hg.upf
CELL_PARAMETERS angstrom
3.446 0.000 0.000
0.000 4.516 0.000
-1.490 0.000 5.564
ATOMIC_POSITIONS angstrom
Mn 0.000 0.000 0.000
Tl -0.745 0.000 2.782
Hg 0.997 2.258 1.269
Hg 0.958 2.258 4.295
```

Properties
* energy of formation: 32.4 kJ/mol of atoms
* M_tot: 3.90 Bohr magnetons per cell
* SG: P2/m (10)

***

Question: The highest M_tot belongs to which entry?
Answer: SbMoBr3

***

Question: Number 2 is which compound?
Answer: SbMoBr3